An optimized crystal structure of AcPrLu4. Source: the Alexandria database, functional PBE-GGA.

The structure in extended XYZ format:
```
6
Lattice="0.000 4.748 4.748 4.748 0.000 4.748 4.748 4.748 0.000" Properties=species:S:1:pos:R:3 pbc="T T T"
Ac 0.000 0.000 0.000
Pr 2.374 2.374 2.374
Lu 5.934 3.562 3.562
Lu 3.562 5.934 3.562
Lu 3.562 3.562 5.934
Lu 5.934 5.934 5.934
```

Results
crystal system = cubic
SG = F-43m, No. 216
DFT total energy = -0.1559 Ha/atom
ρ = 8283 kg/m³


An optimized crystal structure of Dy2TaSnN5. Source: the Alexandria database, functional PBE-GGA.

The structure in extended XYZ format:
```
18
Lattice="1.636 -6.953 0.000 1.636 6.953 0.000 0.000 0.000 10.832" Properties=species:S:1:pos:R:3 pbc="T T T"
Dy 1.636 5.190 5.416
Dy 1.636 5.178 0.283
Dy 1.636 -5.178 5.699
Dy 1.636 -5.190 0.000
Ta 1.636 3.639 8.463
Ta 1.636 -3.639 3.047
Sn 1.636 0.123 2.729
Sn 1.636 -0.123 8.145
N 1.636 5.831 8.814
N 1.636 3.166 1.681
N 1.636 3.025 4.504
N 1.636 1.748 9.049
N 1.636 0.038 6.075
N 1.636 -0.038 0.659
N 1.636 -1.748 3.633
N 1.636 -3.025 9.920
N 1.636 -3.166 7.097
N 1.636 -5.831 3.398
```

Results
crystal system = orthorhombic
SG = Cmc2_1, No. 36
DFT total energy = -0.3074 Ha/atom
ρ = 9362 kg/m³
ΔE_f (raw) = -92.17 kJ/mol of atoms